Entry 1:
## AgHgBrO (PBE-GGA)

Data for crystalline AgHgBrO at its relaxed geometry.

abc: 3.7568 3.9660 6.4980
angles: 90.00 90.00 90.00
With the nearest neighbours (Å) after each atom.
Sites, in units of the cell vectors:
Ag 0.0000 0.0000 0.0000  2 O 2.27
Hg 0.5000 0.5000 0.3500  2 O 2.21
Br 0.0000 0.0000 0.5965  1 Ag 2.62
O 0.0000 0.5000 0.1698  2 Hg 2.21, 2 Ag 2.27

Calculated values
Energy relative to the elements, uncorrected: -121 meV per atom
Space group: Pmm2

---

Entry 2:
## AgPW3 (PBE-GGA)

Data for crystalline AgPW3 at its relaxed geometry.

abc: 4.7881 4.7881 4.7881
angles: 90.00 90.00 90.00
With the nearest neighbours (Å) after each atom.
Sites, in units of the cell vectors:
Ag 0.0000 0.0000 0.0000  6 W 2.39
P 0.5000 0.5000 0.5000  12 W 3.39
W 0.0000 0.0000 0.5000  2 Ag 2.39
W 0.0000 0.5000 0.0000  2 Ag 2.39
W 0.5000 0.0000 0.0000  2 Ag 2.39

Calculated values
Formation energy: 3.09 eV/atom
Space group: Pm-3m

---

Entry 3:
## NiSbC3 (PBE-GGA)

Data for crystalline NiSbC3 at its relaxed geometry.

abc: 4.1945 4.1945 4.1945
angles: 90.00 90.00 90.00
With the nearest neighbours (Å) after each atom.
Sites, in units of the cell vectors:
Ni 0.0000 0.0000 0.0000  12 C 2.97
Sb 0.5000 0.5000 0.5000  6 C 2.10
C 0.0000 0.5000 0.5000  2 Sb 2.10
C 0.5000 0.0000 0.5000  2 Sb 2.10
C 0.5000 0.5000 0.0000  2 Sb 2.10

Calculated values
Energy relative to the elements, uncorrected: 3134 meV per atom
Space group: Pm-3m

---

Entry 4:
## P2AuBr (PBE-GGA)

Data for crystalline P2AuBr at its relaxed geometry.

abc: 4.3980 4.3980 9.0877
angles: 90.00 90.00 137.50
With the nearest neighbours (Å) after each atom.
Sites, in units of the cell vectors:
P 0.0000 0.0000 0.0000  2 P 2.13
P 0.5000 0.5000 0.1556  2 P 2.13
Au 0.0000 0.0000 0.3831  2 P 2.61, 2 Br 2.70
Br 0.5000 0.5000 0.6234  2 Au 2.70

Calculated values
Energy relative to the elements, uncorrected: 353 meV per atom
Space group: Cmm2

---

Entry 5:
## Pm2NiHPd6 (PBE-GGA)

Data for crystalline Pm2NiHPd6 at its relaxed geometry.

abc: 5.6761 5.6761 6.9080
angles: 114.34 114.34 60.17
With the nearest neighbours (Å) after each atom.
Sites, in units of the cell vectors:
Pm 0.2200 0.2200 0.1576  9 Pd 2.99-3.31
Pm 0.7800 0.7800 0.8424  9 Pd 2.99-3.31
Ni 0.5000 0.5000 0.0000  6 Pd 2.50-2.51
H 0.0000 0.0000 0.5000  6 Pd 1.99-2.01
Pd 0.2295 0.2295 0.6879  1 H 1.99
Pd 0.2291 0.7256 0.6863  1 H 2.01
Pd 0.2744 0.7709 0.3137  1 H 2.01
Pd 0.7256 0.2291 0.6863  1 H 2.01
Pd 0.7709 0.2744 0.3137  1 H 2.01
Pd 0.7705 0.7705 0.3121  1 H 1.99

Calculated values
Space group: C2/m

---

Entry 6:
## LuTiFeOs (PBE-GGA)

Data for crystalline LuTiFeOs at its relaxed geometry.

abc: 4.4768 4.4768 4.4768
angles: 60.00 60.00 60.00
With the nearest neighbours (Å) after each atom.
Sites, in units of the cell vectors:
Lu 0.0000 0.0000 0.0000  4 Fe 2.74, 4 Os 2.74
Ti 0.5000 0.5000 0.5000  4 Fe 2.74, 4 Os 2.74
Fe 0.7500 0.7500 0.7500  4 Lu 2.74, 4 Ti 2.74
Os 0.2500 0.2500 0.2500  4 Ti 2.74, 4 Lu 2.74

Calculated values
Formation energy: -0.23 eV/atom
Space group: F-43m

---

no.,final energy (eV per atom)
1,-2.567
2,-6.336
3,-4.381
4,-3.589
5,-5.540
6,-8.256